A plane-wave DFT calculation with PBE was carried out for a relaxed Y2Se crystal.

Cell: 6.6622 6.6622 6.6622 Å, 148.65 148.65 44.92°
Last column: nearest neighbours and their distance in Å.
Positions (direct):
Se: 0.5000 0.5000 0.0000  8 Y 3.11
Y: 0.8546 0.8546 0.0000  4 Se 3.11
Y: 0.1454 0.1454 0.0000  4 Se 3.11

Computed properties:
- formation energy (no corrections) (eV/atom) = -0.9737
- SG = I4/mmm (139)

---

A plane-wave DFT calculation with PBE was carried out for a relaxed Y2Se crystal.

Cell: 3.7874 12.1463 14.7167 Å, 90.00 90.00 90.00°
Last column: nearest neighbours and their distance in Å.
Positions (direct):
Se: 0.5000 0.5046 0.3124  6 Y 2.80-2.88
Y: 0.0000 0.1503 0.7649  5 Se 2.81-3.06
Y: 0.5000 0.1205 0.5233  3 Se 2.80-2.86
Y: 0.5000 0.3738 0.1547  3 Se 2.79-2.81
Y: 0.0000 0.3413 0.3730  3 Se 2.82-2.88
Y: 0.0000 0.9040 0.0901  3 Se 2.84-3.01
Se: 0.5000 0.3478 0.7576  7 Y 2.91-3.06
Se: 0.0000 0.5155 0.0797  6 Y 2.79-2.84
Se: 0.0000 0.1094 0.3783  6 Y 2.81-2.86
Y: 0.0000 0.4040 0.9099  3 Se 2.84-3.01
Y: 0.5000 0.5944 0.7633  3 Se 2.82-3.00
Y: 0.0000 0.3789 0.6092  3 Se 2.81-2.91
Y: 0.5000 0.6596 0.0033  2 Se 2.81
Y: 0.5000 0.8738 0.8453  3 Se 2.79-2.81
Y: 0.0000 0.8789 0.3908  3 Se 2.81-2.91
Y: 0.5000 0.1596 0.9967  2 Se 2.81
Y: 0.0000 0.8413 0.6270  3 Se 2.82-2.88
Se: 0.5000 0.0046 0.6876  6 Y 2.80-2.88
Y: 0.0000 0.6503 0.2351  5 Se 2.81-3.06
Y: 0.5000 0.6205 0.4767  3 Se 2.80-2.86
Se: 0.5000 0.8478 0.2424  7 Y 2.91-3.06
Se: 0.0000 0.6094 0.6217  6 Y 2.81-2.86
Se: 0.0000 0.0155 0.9203  6 Y 2.79-2.84
Y: 0.5000 0.0944 0.2367  3 Se 2.82-3.00

Computed properties:
- formation energy (no corrections) (eV/atom) = -1.0572
- SG = Pmc2_1 (26)

---

A plane-wave DFT calculation with PBE was carried out for a relaxed Y3Se2 crystal.

Cell: 3.9113 3.9113 10.0433 Å, 90.00 90.00 120.00°
Last column: nearest neighbours and their distance in Å.
Positions (direct):
Y: 0.6667 0.3333 0.6404  3 Se 2.92
Y: 0.0000 0.0000 0.0000  6 Se 2.86
Se: 0.6667 0.3333 0.1750  6 Y 2.86-2.92
Se: 0.3333 0.6667 0.8250  6 Y 2.86-2.92
Y: 0.3333 0.6667 0.3596  3 Se 2.92

Computed properties:
- formation energy (no corrections) (eV/atom) = -1.3804
- SG = P-3m1 (164)
- energy above the lowest structure with this stoichiometry (kcal/mol of atoms) = 0.65

---

A plane-wave DFT calculation with PBE was carried out for a relaxed YSe5 crystal.

Cell: 8.0538 8.0538 5.6484 Å, 90.00 90.00 151.29°
Last column: nearest neighbours and their distance in Å.
Positions (direct):
Se: 0.6946 0.3054 0.5000  2 Y 2.81, 2 Se 2.85
Y: 0.0678 0.9322 0.5000  6 Se 2.81-2.90
Se: 0.4335 0.5665 0.5000  2 Se 2.83, 2 Y 2.90
Se: 0.4283 0.5717 0.0000  4 Se 2.66-2.83
Se: 0.6682 0.3318 0.0000  4 Se 2.82-2.85
Se: 0.0408 0.9592 0.0000  4 Se 2.66-2.82, 2 Y 2.86

Computed properties:
- formation energy (no corrections) (eV/atom) = -0.6178
- SG = Amm2 (38)